## PmSc4Pt4 (GGA-PBE)

Data for crystalline PmSc4Pt4 at its relaxed geometry.

Structure (POSCAR):
```
PmSc4Pt4
1.0
-4.191 -2.806 -1.957
5.556 -5.908 -3.426
-0.361 -4.664 7.458
Pm Sc Pt
2 8 8
Direct
0.000 0.000 0.000
0.500 0.500 0.500
0.411 0.346 0.894
0.911 0.606 0.846
0.411 0.654 0.106
0.089 0.154 0.606
0.589 0.894 0.654
0.089 0.846 0.394
0.911 0.394 0.154
0.589 0.106 0.346
0.583 0.800 0.361
0.583 0.200 0.639
0.083 0.861 0.700
0.917 0.300 0.861
0.917 0.700 0.139
0.417 0.361 0.200
0.417 0.639 0.800
0.083 0.139 0.300
```

Values from the calculation:
- Energy of formation: -857 kJ/mol of formula units
- Mass density: 8.75 g/cm³


## Pm2ScPt (GGA-PBE)

Data for crystalline Pm2ScPt at its relaxed geometry.

Structure (POSCAR):
```
Pm2ScPt
1.0
-0.760 -2.609 -2.534
1.773 -2.526 2.070
-6.459 -1.598 3.582
Sc Pt Pm
1 1 2
Direct
0.500 0.500 0.500
0.500 0.500 0.000
0.000 0.000 0.781
0.000 0.000 0.219
```

Values from the calculation:
- Energy of formation: -189 kJ/mol of formula units
- Mass density: 8.44 g/cm³


## Pm2ScSi4Pt3 (GGA-PBE)

Data for crystalline Pm2ScSi4Pt3 at its relaxed geometry.

Structure (POSCAR):
```
Pm2ScSi4Pt3
1.0
-2.555 0.898 -3.216
1.723 -3.115 -2.238
-7.212 -6.750 3.843
Pm Sc Si Pt
2 1 4 3
Direct
0.500 0.000 0.238
0.000 0.500 0.762
0.500 0.500 0.500
0.500 0.500 0.000
0.000 0.000 0.000
0.500 0.000 0.653
0.000 0.500 0.347
0.000 0.000 0.500
0.500 0.000 0.884
0.000 0.500 0.116
```

Values from the calculation:
- Mass density: 9.15 g/cm³


## PmScSiPt (GGA-PBE)

Data for crystalline PmScSiPt at its relaxed geometry.

Structure (POSCAR):
```
PmScSiPt
1.0
4.916 0.000 0.000
2.458 4.257 0.000
2.458 1.419 4.014
Sc Si Pt Pm
1 1 1 1
Direct
0.500 0.500 0.500
0.250 0.250 0.250
0.750 0.750 0.750
0.000 0.000 0.000
```

Values from the calculation:
- Mass density: 8.17 g/cm³


## PmScTcPt (GGA-PBE)

Data for crystalline PmScTcPt at its relaxed geometry.

Structure (POSCAR):
```
PmScTcPt
1.0
-1.753 -4.239 1.436
2.835 -3.112 2.319
-0.691 -0.854 4.679
Sc Tc Pt Pm
1 1 1 1
Direct
0.750 0.750 0.750
0.500 0.500 0.500
0.000 0.000 0.000
0.250 0.250 0.250
```

Values from the calculation:
- Energy of formation: -186 kJ/mol of formula units
- Mass density: 10.22 g/cm³


## PmScTlPt (GGA-PBE)

Data for crystalline PmScTlPt at its relaxed geometry.

Structure (POSCAR):
```
PmScTlPt
1.0
5.093 0.000 0.000
2.546 4.410 0.000
2.546 1.470 4.158
Sc Tl Pt Pm
1 1 1 1
Direct
0.500 0.500 0.500
0.250 0.250 0.250
0.750 0.750 0.750
0.000 0.000 0.000
```

Values from the calculation:
- Energy of formation: -234 kJ/mol of formula units
- Mass density: 10.48 g/cm³


## Pm2ZrScPt2 (GGA-PBE)

Data for crystalline Pm2ZrScPt2 at its relaxed geometry.

Structure (POSCAR):
```
Pm2ZrScPt2
1.0
6.571 0.000 0.000
0.000 6.565 -0.002
-3.285 -3.285 6.861
Pm Zr Sc Pt
4 2 2 4
Direct
0.427 0.186 0.372
0.573 0.814 0.628
0.055 0.314 0.628
0.945 0.686 0.372
0.500 0.750 0.000
0.500 0.250 0.000
0.000 0.750 0.000
0.000 0.250 0.000
0.853 0.105 0.210
0.357 0.605 0.210
0.643 0.395 0.790
0.147 0.895 0.790
```

Values from the calculation:
- Energy of formation: -498 kJ/mol of formula units
- Mass density: 9.16 g/cm³


## Pm2PtSe (GGA-PBE)

Data for crystalline Pm2PtSe at its relaxed geometry.

Structure (POSCAR):
```
Pm2PtSe
1.0
3.611 0.000 0.000
0.000 3.611 0.000
0.000 0.000 7.320
Se Pt Pm
1 1 2
Direct
0.500 0.500 0.500
0.500 0.500 0.000
0.000 0.000 0.760
0.000 0.000 0.240
```

Values from the calculation:
- E above lowest polymorph: 211 meV/atom
- Mass density: 9.81 g/cm³


## Pm2PtSe (GGA-PBE)

Data for crystalline Pm2PtSe at its relaxed geometry.

Structure (POSCAR):
```
Pm2PtSe
1.0
4.136 0.000 0.000
2.068 3.582 0.000
2.068 1.194 7.334
Pm Pt Se
2 1 1
Direct
0.075 0.075 0.775
0.259 0.259 0.224
0.667 0.667 0.999
0.499 0.499 0.502
```

Values from the calculation:
- E above lowest polymorph: 72 meV/atom
- Mass density: 8.62 g/cm³


## Pm6PtSe5 (GGA-PBE)

Data for crystalline Pm6PtSe5 at its relaxed geometry.

Structure (POSCAR):
```
Pm6PtSe5
1.0
-1.811 -7.052 -0.366
4.585 2.308 5.177
-6.239 2.732 2.584
Se Pt Pm
5 1 6
Direct
0.828 0.172 0.500
0.665 0.335 0.000
0.500 0.500 0.500
0.335 0.665 0.000
0.172 0.828 0.500
0.000 0.000 0.000
0.406 0.079 0.243
0.921 0.594 0.757
0.244 0.244 0.753
0.756 0.756 0.247
0.079 0.406 0.243
0.594 0.921 0.757
```

Values from the calculation:
- Mass density: 7.66 g/cm³


## PmPtSe2 (GGA-PBE)

Data for crystalline PmPtSe2 at its relaxed geometry.

Structure (POSCAR):
```
PmPtSe2
1.0
3.792 0.000 0.000
1.896 3.284 0.000
1.896 1.095 8.503
Se Pt Pm
2 1 1
Direct
0.115 0.115 0.656
0.885 0.885 0.344
0.500 0.500 0.500
0.000 0.000 0.000
```

Values from the calculation:
- Mass density: 7.81 g/cm³


## Pm2PtSe (GGA-PBE)

Data for crystalline Pm2PtSe at its relaxed geometry.

Structure (POSCAR):
```
Pm2PtSe
1.0
4.127 0.000 0.000
0.000 5.985 0.000
0.000 0.000 8.635
Pm Pt Se
4 2 2
Direct
0.000 0.000 0.852
0.000 0.000 0.380
0.500 0.500 0.620
0.500 0.500 0.148
0.500 0.000 0.618
0.000 0.500 0.382
0.000 0.500 0.891
0.500 0.000 0.109
```

Values from the calculation:
- E above lowest polymorph: 34 meV/atom
- Mass density: 8.78 g/cm³


## Pm4PtSe3 (GGA-PBE)

Data for crystalline Pm4PtSe3 at its relaxed geometry.

Structure (POSCAR):
```
Pm4PtSe3
1.0
4.140 0.000 0.000
0.000 6.964 -2.366
0.000 -0.050 7.355
Se Pt Pm
3 1 4
Direct
0.000 0.000 0.500
0.500 0.500 0.500
0.000 0.500 0.000
0.500 0.000 0.000
0.000 0.237 0.237
0.500 0.752 0.248
0.000 0.763 0.763
0.500 0.248 0.752
```

Values from the calculation:
- E above lowest polymorph: 0 meV/atom
- Mass density: 7.94 g/cm³


## Pm4PtSe3 (GGA-PBE)

Data for crystalline Pm4PtSe3 at its relaxed geometry.

Structure (POSCAR):
```
Pm4PtSe3
1.0
5.950 0.000 0.000
0.000 5.950 0.000
0.000 0.000 5.950
Pm Pt Se
4 1 3
Direct
0.500 0.000 0.000
0.000 0.500 0.000
0.000 0.000 0.500
0.500 0.500 0.500
0.000 0.000 0.000
0.000 0.500 0.500
0.500 0.000 0.500
0.500 0.500 0.000
```

Values from the calculation:
- E above lowest polymorph: 43 meV/atom
- Mass density: 7.98 g/cm³


## Pm2PtSe (GGA-PBE)

Data for crystalline Pm2PtSe at its relaxed geometry.

Structure (POSCAR):
```
Pm2PtSe
1.0
4.124 0.000 0.000
2.062 3.571 0.000
2.062 1.190 7.256
Se Pt Pm
1 1 2
Direct
0.500 0.500 0.500
0.000 0.000 0.000
0.256 0.256 0.232
0.744 0.744 0.768
```

Values from the calculation:
- E above lowest polymorph: 32 meV/atom
- Mass density: 8.76 g/cm³


## Pm2PtSe (GGA-PBE)

Data for crystalline Pm2PtSe at its relaxed geometry.

Structure (POSCAR):
```
Pm2PtSe
1.0
-3.949 -1.475 1.356
-0.400 -2.035 -3.379
5.286 -8.102 6.581
Pm Pt Se
4 2 2
Direct
0.750 0.679 0.358
0.250 0.321 0.642
0.750 0.938 0.877
0.250 0.062 0.123
0.250 0.455 0.910
0.750 0.545 0.090
0.250 0.191 0.382
0.750 0.809 0.618
```

Values from the calculation:
- E above lowest polymorph: 0 meV/atom
- Mass density: 9.25 g/cm³


## PmSmPtSe (GGA-PBE)

Data for crystalline PmSmPtSe at its relaxed geometry.

Structure (POSCAR):
```
PmSmPtSe
1.0
4.113 0.000 0.000
2.057 3.562 0.000
2.057 1.187 7.238
Pm Sm Pt Se
1 1 1 1
Direct
0.994 0.994 0.018
0.506 0.506 0.482
0.250 0.250 0.251
0.750 0.750 0.749
```

Values from the calculation:
- Mass density: 8.92 g/cm³


## TbPmPtSe (GGA-PBE)

Data for crystalline TbPmPtSe at its relaxed geometry.

Structure (POSCAR):
```
TbPmPtSe
1.0
3.993 0.000 0.001
-1.996 3.458 0.000
-1.995 -1.152 7.441
Tb Pm Pt Se
1 1 1 1
Direct
0.298 0.547 0.860
0.975 0.386 0.375
0.475 0.135 0.625
0.130 0.963 0.109
```

Values from the calculation:
- Mass density: 9.34 g/cm³


## Pm6Te3Pt2Se (GGA-PBE)

Data for crystalline Pm6Te3Pt2Se at its relaxed geometry.

Structure (POSCAR):
```
Pm6Te3Pt2Se
1.0
7.417 -0.009 0.001
-3.714 6.420 0.001
-1.235 -2.138 7.400
Pm Te Pt Se
6 3 2 1
Direct
0.925 0.579 0.780
0.726 0.726 0.219
0.075 0.421 0.220
0.579 0.925 0.780
0.274 0.274 0.781
0.421 0.075 0.220
0.161 0.839 0.500
0.839 0.161 0.500
0.500 0.500 0.500
0.332 0.668 0.000
0.668 0.332 0.000
0.000 0.000 0.000
```

Values from the calculation:
- Mass density: 8.12 g/cm³


## Pm6TePt2Se3 (GGA-PBE)

Data for crystalline Pm6TePt2Se3 at its relaxed geometry.

Structure (POSCAR):
```
Pm6TePt2Se3
1.0
-3.593 1.713 1.251
-2.352 -7.575 3.617
6.365 3.781 6.150
Pm Te Pt Se
6 1 2 3
Direct
0.326 0.892 0.651
0.671 0.577 0.341
0.674 0.108 0.349
0.006 0.269 0.012
0.994 0.731 0.988
0.329 0.423 0.659
0.500 0.000 0.000
0.832 0.662 0.664
0.168 0.338 0.336
0.500 0.500 0.000
0.840 0.161 0.679
0.160 0.839 0.321
```

Values from the calculation:
- Mass density: 8.18 g/cm³


no.,total energy (eV/f.u.)
1,-63.1
2,-23.8
3,-66.2
4,-25.6
5,-29.4
6,-21.9
7,-41.6
8,-24.1
9,-24.7
10,-72.9
11,-19.3
12,-24.8
13,-48.8
14,-48.4
15,-24.8
16,-24.9
17,-24.8
18,-24.5
19,-70.3
20,-72.3